Computed, not measured: an optimized crystal structure of YP2Br at the GGA-PBE level of DFT.

Calculated values
Total energy = -5.296 eV per atom
Raw formation energy = -556.9 meV per atom
Energy above the most stable polymorph in this dataset = 347.7 meV/atom
Density of states at the Fermi level = 1.62 states/eV/f.u.
Theoretical density = 4.108 g/cm3

Cell lengths 4.1805, 4.1805, 21.3495 Å; angles 90.00, 90.00, 90.00 degrees
Last column: nearest neighbours and their distance in Å.
Space group I-42d (No. 122)
Inequivalent atoms, fractional coordinates:
Y 0.0000 0.0000 0.0000  4 P 2.91, 4 Br 2.96
P 0.1190 0.2500 0.1250  2 P 2.32
Br 0.0000 0.0000 0.5000  4 Y 2.96, 4 P 3.28